1.
# TaTe2Au GGA-PBE relaxed
data_TaTe2Au
_chemical_formula_sum 'Ta1 Te2 Au1'
_cell_length_a 3.5354
_cell_length_b 3.5354
_cell_length_c 6.9530
_cell_angle_alpha 90.00
_cell_angle_beta 90.00
_cell_angle_gamma 90.00
_symmetry_space_group_name_H-M 'P 4/m m m'
_symmetry_Int_Tables_number 123
_symmetry_space_group_name_Hall '-P 4 2'
loop_
_atom_site_label
_atom_site_type_symbol
_atom_site_fract_x
_atom_site_fract_y
_atom_site_fract_z
Ta1 Ta 0.0000 0.0000 0.0000
Te1 Te 0.5000 0.5000 0.2302
Au1 Au 0.0000 0.0000 0.5000
# Total magnetic moment ... 0.00 μB/atom
# Distance to the lowest polymorph of the same formula ... 0.51 eV per formula unit
# Energy ... -5.30 eV per atom

=====

2.
# TaTeAu2 GGA-PBE relaxed
data_TaTeAu2
_chemical_formula_sum 'Ta1 Te1 Au2'
_cell_length_a 2.9975
_cell_length_b 5.0597
_cell_length_c 5.2978
_cell_angle_alpha 90.00
_cell_angle_beta 90.00
_cell_angle_gamma 90.00
_symmetry_space_group_name_H-M 'P m m 2'
_symmetry_Int_Tables_number 25
_symmetry_space_group_name_Hall 'P 2 -2'
loop_
_atom_site_label
_atom_site_type_symbol
_atom_site_fract_x
_atom_site_fract_y
_atom_site_fract_z
Ta1 Ta 0.0000 0.0000 0.0000
Te1 Te 0.0000 0.5000 0.7387
Au1 Au 0.5000 0.0000 0.4774
Au2 Au 0.5000 0.5000 0.2078
# Total magnetic moment ... 0.00 μB/atom
# Energy ... -5.11 eV per atom

=====

3.
# Ta2TeAu GGA-PBE relaxed
data_Ta2TeAu
_chemical_formula_sum 'Ta2 Te1 Au1'
_cell_length_a 3.0917
_cell_length_b 4.3650
_cell_length_c 5.8881
_cell_angle_alpha 90.00
_cell_angle_beta 104.93
_cell_angle_gamma 90.00
_symmetry_space_group_name_H-M 'P 1 2/m 1'
_symmetry_Int_Tables_number 10
_symmetry_space_group_name_Hall '-P 2y'
loop_
_atom_site_label
_atom_site_type_symbol
_atom_site_fract_x
_atom_site_fract_y
_atom_site_fract_z
Ta1 Ta 0.0378 0.0000 0.2503
Te1 Te 0.5000 0.5000 0.5000
Au1 Au 0.5000 0.5000 0.0000
# Total magnetic moment ... 0.00 μB/atom
# Energy ... -7.26 eV per atom

=====

4.
# Ta2TeAu GGA-PBE relaxed
data_Ta2TeAu
_chemical_formula_sum 'Ta4 Te2 Au2'
_cell_length_a 9.4717
_cell_length_b 3.3812
_cell_length_c 4.9973
_cell_angle_alpha 90.00
_cell_angle_beta 99.60
_cell_angle_gamma 90.00
_symmetry_space_group_name_H-M 'C 1 2/m 1'
_symmetry_Int_Tables_number 12
_symmetry_space_group_name_Hall '-C 2y'
loop_
_atom_site_label
_atom_site_type_symbol
_atom_site_fract_x
_atom_site_fract_y
_atom_site_fract_z
Ta1 Ta 0.2437 0.0000 0.2253
Te1 Te 0.0000 0.0000 0.5000
Au1 Au 0.0000 0.5000 0.0000
# Total magnetic moment ... 0.00 μB/atom
# Energy ... -7.29 eV per atom

=====

5.
# TaTeAu3 GGA-PBE relaxed
data_TaTeAu3
_chemical_formula_sum 'Ta1 Te1 Au3'
_cell_length_a 5.1405
_cell_length_b 5.1405
_cell_length_c 5.1405
_cell_angle_alpha 90.00
_cell_angle_beta 90.00
_cell_angle_gamma 90.00
_symmetry_space_group_name_H-M 'P m -3 m'
_symmetry_Int_Tables_number 221
_symmetry_space_group_name_Hall '-P 4 2 3'
loop_
_atom_site_label
_atom_site_type_symbol
_atom_site_fract_x
_atom_site_fract_y
_atom_site_fract_z
Ta1 Ta 0.0000 0.0000 0.0000
Te1 Te 0.5000 0.5000 0.5000
Au1 Au 0.0000 0.0000 0.5000
# Total magnetic moment ... 0.00 μB/atom
# Distance to the lowest polymorph of the same formula ... 0.00 eV per formula unit
# Energy ... -4.01 eV per atom

=====

6.
# TaTe2Au GGA-PBE relaxed
data_TaTe2Au
_chemical_formula_sum 'Ta2 Te4 Au2'
_cell_length_a 14.6144
_cell_length_b 3.3084
_cell_length_c 4.8227
_cell_angle_alpha 90.00
_cell_angle_beta 109.17
_cell_angle_gamma 90.00
_symmetry_space_group_name_H-M 'C 1 2/m 1'
_symmetry_Int_Tables_number 12
_symmetry_space_group_name_Hall '-C 2y'
loop_
_atom_site_label
_atom_site_type_symbol
_atom_site_fract_x
_atom_site_fract_y
_atom_site_fract_z
Ta1 Ta 0.0000 0.0000 0.0000
Te1 Te 0.1605 0.5000 0.1603
Au1 Au 0.0000 0.5000 0.5000
# Total magnetic moment ... 0.00 μB/atom
# Distance to the lowest polymorph of the same formula ... 0.32 eV per formula unit
# Energy ... -5.34 eV per atom

=====

7.
# Ta2TeAu GGA-PBE relaxed
data_Ta2TeAu
_chemical_formula_sum 'Ta4 Te2 Au2'
_cell_length_a 9.9978
_cell_length_b 3.2604
_cell_length_c 4.9849
_cell_angle_alpha 90.00
_cell_angle_beta 107.44
_cell_angle_gamma 90.00
_symmetry_space_group_name_H-M 'C 1 m 1'
_symmetry_Int_Tables_number 8
_symmetry_space_group_name_Hall 'C -2y'
loop_
_atom_site_label
_atom_site_type_symbol
_atom_site_fract_x
_atom_site_fract_y
_atom_site_fract_z
Ta1 Ta 0.0000 0.0000 0.0000
Ta2 Ta 0.2345 0.5000 0.3235
Te1 Te 0.2510 0.0000 0.8246
Au1 Au 0.4801 0.0000 0.4738
# Total magnetic moment ... 0.00 μB/atom
# Energy ... -7.34 eV per atom

=====

8.
# TaTeAu2 GGA-PBE relaxed
data_TaTeAu2
_chemical_formula_sum 'Ta2 Te2 Au4'
_cell_length_a 3.0028
_cell_length_b 4.6871
_cell_length_c 13.2231
_cell_angle_alpha 90.00
_cell_angle_beta 90.00
_cell_angle_gamma 90.00
_symmetry_space_group_name_H-M 'I m m 2'
_symmetry_Int_Tables_number 44
_symmetry_space_group_name_Hall 'I 2 -2'
loop_
_atom_site_label
_atom_site_type_symbol
_atom_site_fract_x
_atom_site_fract_y
_atom_site_fract_z
Ta1 Ta 0.0000 0.0000 0.0000
Te1 Te 0.0000 0.5000 0.6923
Au1 Au 0.0000 0.0000 0.5434
Au2 Au 0.0000 0.5000 0.3288
# Total magnetic moment ... 0.00 μB/atom
# Energy ... -5.20 eV per atom

=====

- Among the records above, which one has the highest energy?
  TaTeAu3